Record 1
Compound: BaTe2Se
Source: Alexandria via LeMat-Bulk
Functional: PBE-GGA
Structure: optimized geometry

Cell lengths 4.348, 4.348, 8.275 Å; angles 90.00, 90.00, 114.51 degrees
Fractional coordinates of all 4 atoms:
1 Ba 0.000 0.000 0.000
2 Te 0.500 0.500 0.284
3 Te 0.500 0.500 0.716
4 Se 0.000 0.000 0.500

Crystal system ... orthorhombic
Total moment ... 0.000 μB per atom
DOS(E_F) ... 1.54 states/eV/f.u.
Electronic total energy ... -13.30 eV for the cell shown



Record 2
Compound: ThAs3Ru5
Source: Alexandria via LeMat-Bulk
Functional: PBE-GGA
Structure: optimized geometry

Cell lengths 6.618, 6.618, 12.349 Å; angles 90.00, 90.00, 144.86 degrees
Fractional coordinates of all 18 atoms:
1 Th 0.174 0.826 0.750
2 Th 0.826 0.174 0.250
3 As 0.120 0.880 0.250
4 As 0.385 0.615 0.046
5 As 0.385 0.615 0.454
6 As 0.615 0.385 0.546
7 As 0.615 0.385 0.954
8 As 0.880 0.120 0.750
9 Ru 0.000 0.000 0.000
10 Ru 0.000 0.000 0.500
11 Ru 0.202 0.798 0.074
12 Ru 0.202 0.798 0.426
13 Ru 0.446 0.554 0.648
14 Ru 0.446 0.554 0.852
15 Ru 0.554 0.446 0.148
16 Ru 0.554 0.446 0.352
17 Ru 0.798 0.202 0.574
18 Ru 0.798 0.202 0.926

Energy of formation from the pure elements ... -315.9 meV per atom
Crystal system ... orthorhombic
Total moment ... 0.000 μB per atom
DOS(E_F) ... 6.34 states/eV/f.u.



Record 3
Compound: Rb2BaIrBr6
Source: Alexandria via LeMat-Bulk
Functional: PBE-GGA
Structure: optimized geometry

Cell lengths 8.239, 8.239, 8.239 Å; angles 122.28, 122.28, 86.09 degrees
Fractional coordinates of all 10 atoms:
1 Rb 0.250 0.750 0.500
2 Rb 0.750 0.250 0.500
3 Ba 0.000 0.000 0.000
4 Ir 0.500 0.500 0.000
5 Br 0.261 0.261 0.000
6 Br 0.278 0.278 0.555
7 Br 0.278 0.722 0.000
8 Br 0.722 0.278 0.000
9 Br 0.722 0.722 0.445
10 Br 0.739 0.739 0.000

Crystal system ... tetragonal
Total moment ... 0.100 μB per atom
DOS(E_F) ... 0.00 states/eV/f.u.
Electronic total energy ... -34.65 eV for the cell shown



Record 4
Compound: DyTm7Al4
Source: Alexandria via LeMat-Bulk
Functional: PBE-GGA
Structure: optimized geometry

Cell lengths 7.370, 7.370, 10.311 Å; angles 121.92, 121.92, 43.19 degrees
Fractional coordinates of all 12 atoms:
1 Dy 0.000 0.000 0.000
2 Tm 0.065 0.065 0.390
3 Tm 0.215 0.215 0.877
4 Tm 0.298 0.298 0.356
5 Tm 0.500 0.500 0.000
6 Tm 0.702 0.702 0.644
7 Tm 0.785 0.785 0.123
8 Tm 0.935 0.935 0.610
9 Al 0.323 0.323 0.667
10 Al 0.444 0.444 0.235
11 Al 0.556 0.556 0.765
12 Al 0.677 0.677 0.333

Energy of formation from the pure elements ... -38.5 meV per atom
Crystal system ... monoclinic
Total moment ... 0.000 μB per atom
DOS(E_F) ... 12.28 states/eV/f.u.



Record 5
Compound: BaLi2Zn
Source: Alexandria via LeMat-Bulk
Functional: PBE-GGA
Structure: optimized geometry

Cell lengths 3.689, 3.689, 7.867 Å; angles 90.00, 90.00, 90.00 degrees
Fractional coordinates of all 4 atoms:
1 Ba 0.000 0.000 0.000
2 Li 0.500 0.500 0.335
3 Li 0.500 0.500 0.665
4 Zn 0.000 0.000 0.500

Energy of formation from the pure elements ... 48.1 meV per atom
Crystal system ... tetragonal
Total moment ... 0.000 μB per atom
DOS(E_F) ... 2.20 states/eV/f.u.



Record 6
Compound: Mg2RuAu
Source: Alexandria via LeMat-Bulk
Functional: PBE-GGA
Structure: optimized geometry

Cell lengths 5.169, 5.169, 5.169 Å; angles 135.44, 135.44, 64.84 degrees
Fractional coordinates of all 4 atoms:
1 Mg 0.000 0.000 0.000
2 Mg 0.750 0.250 0.500
3 Ru 0.250 0.750 0.500
4 Au 0.500 0.500 0.000

Energy of formation from the pure elements ... -124.2 meV per atom
Crystal system ... tetragonal
Total moment ... 0.167 μB per atom
DOS(E_F) ... 2.59 states/eV/f.u.



Record 7
Compound: Sm2TlI
Source: Alexandria via LeMat-Bulk
Functional: PBE-GGA
Structure: optimized geometry

Cell lengths 9.719, 9.719, 9.719 Å; angles 23.12, 23.12, 23.12 degrees
Fractional coordinates of all 4 atoms:
1 Sm 0.000 0.000 0.000
2 Sm 0.169 0.169 0.169
3 Tl 0.584 0.584 0.584
4 I 0.417 0.417 0.417

Crystal system ... trigonal
ΔE to the lowest computed polymorph ... 6 meV per atom
Total moment ... 0.000 μB per atom
DOS(E_F) ... 1.95 states/eV/f.u.



Record 8
Compound: La4MgRh
Source: Alexandria via LeMat-Bulk
Functional: PBE-GGA
Structure: optimized geometry

Cell lengths 6.365, 6.365, 6.365 Å; angles 60.00, 60.00, 60.00 degrees
Fractional coordinates of all 6 atoms:
1 La 0.377 0.377 0.377
2 La 0.377 0.377 0.870
3 La 0.377 0.870 0.377
4 La 0.870 0.377 0.377
5 Mg 0.000 0.000 0.000
6 Rh 0.750 0.750 0.750

Energy of formation from the pure elements ... 478.3 meV per atom
Crystal system ... cubic
ΔE to the lowest computed polymorph ... 841 meV per atom
Total moment ... 0.001 μB per atom
DOS(E_F) ... 12.61 states/eV/f.u.



Record 9
Compound: HfIn3Ga
Source: Alexandria via LeMat-Bulk
Functional: PBE-GGA
Structure: optimized geometry

Cell lengths 5.160, 5.160, 5.160 Å; angles 90.00, 90.00, 90.00 degrees
Fractional coordinates of all 5 atoms:
1 Hf 0.000 0.000 0.000
2 In 0.000 0.500 0.500
3 In 0.500 0.000 0.500
4 In 0.500 0.500 0.000
5 Ga 0.500 0.500 0.500

Energy of formation from the pure elements ... 716.2 meV per atom
Crystal system ... cubic
ΔE to the lowest computed polymorph ... 84 meV per atom
Total moment ... 0.000 μB per atom
DOS(E_F) ... 5.32 states/eV/f.u.



Record 10
Compound: MnNbW2
Source: Alexandria via LeMat-Bulk
Functional: PBE-GGA
Structure: optimized geometry

Cell lengths 5.668, 5.668, 5.668 Å; angles 102.31, 102.31, 125.01 degrees
Fractional coordinates of all 8 atoms:
1 Mn 0.000 0.000 0.000
2 Mn 0.750 0.250 0.500
3 Nb 0.250 0.750 0.500
4 Nb 0.500 0.500 0.000
5 W 0.088 0.125 0.463
6 W 0.375 0.912 0.037
7 W 0.662 0.625 0.537
8 W 0.875 0.338 0.963

Energy of formation from the pure elements ... 760.1 meV per atom
Crystal system ... tetragonal
ΔE to the lowest computed polymorph ... 651 meV per atom
Total moment ... 0.002 μB per atom
DOS(E_F) ... 4.30 states/eV/f.u.



Record 11
Compound: SmIn2Rh
Source: Alexandria via LeMat-Bulk
Functional: PBE-GGA
Structure: optimized geometry

Cell lengths 5.892, 5.892, 5.892 Å; angles 45.32, 45.32, 45.32 degrees
Fractional coordinates of all 4 atoms:
1 Sm 0.000 0.000 0.000
2 In 0.220 0.220 0.220
3 In 0.780 0.780 0.780
4 Rh 0.500 0.500 0.500

Energy of formation from the pure elements ... -414.3 meV per atom
Crystal system ... trigonal
Total moment ... 0.000 μB per atom
DOS(E_F) ... 3.63 states/eV/f.u.



Record 12
Compound: ZrNiAs2
Source: Alexandria via LeMat-Bulk
Functional: PBE-GGA
Structure: optimized geometry

Cell lengths 3.433, 3.433, 5.663 Å; angles 90.00, 90.00, 90.00 degrees
Fractional coordinates of all 4 atoms:
1 Zr 0.000 0.000 0.000
2 Ni 0.000 0.000 0.500
3 As 0.500 0.500 0.269
4 As 0.500 0.500 0.731

Energy of formation from the pure elements ... -278.8 meV per atom
Crystal system ... tetragonal
Total moment ... 0.000 μB per atom
DOS(E_F) ... 3.96 states/eV/f.u.